Entry 1:
Material: DyPa2O7
Method: DFT, PBE
State: optimized geometry

Values from the calculation:
ΔE_f (raw) ... -3370 meV per atom
Fermi-level density of states ... 6.52 states/eV/f.u.

Cell lengths 10.6867, 10.6867, 10.6867 Å; angles 20.92, 20.92, 20.92 degrees
Positions (direct):
Dy  0.0000  0.0000  0.0000
Pa  0.4308  0.4308  0.4308
Pa  0.5692  0.5692  0.5692
O  0.0754  0.0754  0.0754
O  0.2188  0.2188  0.2188
O  0.3607  0.3607  0.3607
O  0.5000  0.5000  0.5000
O  0.6393  0.6393  0.6393
O  0.7812  0.7812  0.7812
O  0.9246  0.9246  0.9246


Entry 2:
Material: AgBiB2
Method: DFT, PBE
State: optimized geometry

Values from the calculation:
Fermi-level density of states ... 1.24 states/eV/f.u.
Energy of formation from the pure elements ... 1.12 eV per atom

Cell lengths 8.5851, 8.5851, 8.5851 Å; angles 152.71, 152.71, 38.98 degrees
Positions (direct):
Ag  0.3750  0.6250  0.7500
Ag  0.6250  0.3750  0.2500
Bi  0.1250  0.8750  0.2500
Bi  0.8750  0.1250  0.7500
B  0.0000  0.5000  0.5000
B  0.5000  0.0000  0.0000
B  0.5000  0.5000  0.0000
B  0.5000  0.5000  0.5000


Entry 3:
Material: SmScCuRh
Method: DFT, PBE
State: optimized geometry

Values from the calculation:
Fermi-level density of states ... 3.87 states/eV/f.u.
Energy of formation from the pure elements ... -0.50 eV per atom

Cell lengths 4.8059, 4.8059, 4.8059 Å; angles 60.00, 60.00, 60.00 degrees
Positions (direct):
Sm  0.0000  0.0000  0.0000
Sc  0.5000  0.5000  0.5000
Cu  0.7500  0.7500  0.7500
Rh  0.2500  0.2500  0.2500


Question: The highest Fermi-level density of states belongs to which entry?
Answer: DyPa2O7